Model 1:
The following is a DFT calculation (PBE-GGA) of a relaxed structure of KTe2S4.

- Symmetry: No. 1
- Size of the total moment: 0.000 Bohr magnetons per cell

Geometry as POSCAR:
```
KTe2S4
1.0
-6.6699 0.7549 3.7192
-1.5738 -5.6340 -5.7620
6.1180 -3.0582 5.3712
K Te S
2 4 8
Direct
0.2267 0.7259 0.4964
0.9813 0.9809 0.0514
0.6994 0.3488 0.2752
0.5706 0.4565 0.7415
0.6411 0.9023 0.3873
0.1259 0.3779 0.8445
0.8006 0.0851 0.7156
0.4808 0.7006 0.8744
0.9816 0.2830 0.3957
0.7915 0.6390 0.5270
0.4601 0.0913 0.3063
0.2753 0.4174 0.1443
0.3266 0.1954 0.7477
0.8887 0.5460 0.9928
```

***

Model 2:
The following is a DFT calculation (PBE-GGA) of a relaxed structure of KTe2S4.

- Symmetry: No. 66
- DOS(E_F): 7.5 states/eV per cell
- Size of the total moment: 0.000 Bohr magnetons per cell

Geometry as POSCAR:
```
KTe2S4
1.0
7.3045 0.1782 0.0000
-3.4232 6.4552 0.0000
0.0000 0.0000 10.8378
K Te S
2 4 8
Direct
0.5000 0.5000 0.2500
0.5000 0.5000 0.7500
0.2096 0.7787 0.0000
0.7904 0.2213 0.0000
0.2213 0.7904 0.5000
0.7787 0.2096 0.5000
0.5168 0.7551 0.0000
0.4832 0.2449 0.0000
0.2449 0.4832 0.5000
0.7551 0.5168 0.5000
0.5000 0.0000 0.3443
0.0000 0.5000 0.1557
0.5000 0.0000 0.6557
0.0000 0.5000 0.8443
```

***

Most stable: model 1 (next structure +8.3 kJ/mol of atoms)

***

Model 1:
The following is a DFT calculation (PBE-GGA) of a relaxed structure of K2TeS2.

- Symmetry: No. 36
- Size of the total moment: 0.000 Bohr magnetons per cell

Geometry as POSCAR:
```
K2TeS2
1.0
5.0362 0.0000 0.0000
0.0000 6.5983 0.0000
-2.5181 0.0000 9.7712
K Te S
4 2 4
Direct
0.0195 0.2830 0.0390
0.1991 0.5344 0.3982
0.8009 0.0344 0.6018
0.9805 0.7830 0.9610
0.6228 0.9436 0.2456
0.3772 0.4436 0.7544
0.5867 0.5847 0.1734
0.1593 0.0198 0.3186
0.8407 0.5198 0.6814
0.4133 0.0847 0.8266
```

***

Model 2:
The following is a DFT calculation (PBE-GGA) of a relaxed structure of K2TeS2.

- Symmetry: No. 127
- DOS(E_F): 1.5 states/eV per cell
- Size of the total moment: 0.000 Bohr magnetons per cell

Geometry as POSCAR:
```
K2TeS2
1.0
7.5861 0.0000 0.0000
0.0000 7.5861 0.0000
0.0000 0.0000 4.7807
K Te S
4 2 4
Direct
0.1473 0.6473 0.5000
0.6473 0.8527 0.5000
0.8527 0.3527 0.5000
0.3527 0.1473 0.5000
0.0000 0.0000 0.0000
0.5000 0.5000 0.0000
0.3279 0.8279 0.0000
0.8279 0.6721 0.0000
0.6721 0.1721 0.0000
0.1721 0.3279 0.0000
```

***

Most stable: model 1 (next structure +3.3 kJ/mol of atoms)

***

Model 1:
The following is a DFT calculation (PBE-GGA) of a relaxed structure of K3TeS.

- Symmetry: No. 11
- DOS(E_F): 3.5 states/eV per cell
- Size of the total moment: 0.009 Bohr magnetons per cell

Geometry as POSCAR:
```
K3TeS
1.0
-1.6676 4.4328 -3.8802
1.6888 -0.8147 -7.1792
-8.2963 -4.3928 -1.4529
K Te S
6 2 2
Direct
0.1322 0.1105 0.5524
0.4284 0.8551 0.0524
0.6071 0.2684 0.8558
0.6071 0.2684 0.2489
0.9535 0.6973 0.3558
0.9535 0.6973 0.7489
0.0176 0.3957 0.0524
0.5430 0.5700 0.5524
0.6366 0.0877 0.5524
0.9240 0.8780 0.0524
```

***

Model 2:
The following is a DFT calculation (PBE-GGA) of a relaxed structure of K3TeS.

- Symmetry: No. 221
- DOS(E_F): 7.7 states/eV per cell
- Size of the total moment: 1.000 Bohr magnetons per cell

Geometry as POSCAR:
```
K3TeS
1.0
-5.0720 2.7182 -1.6770
-3.1461 -4.7944 1.7442
-0.5504 2.3562 5.4838
K Te S
3 1 1
Direct
0.0000 0.5000 0.0000
0.0000 0.0000 0.5000
0.5000 0.0000 0.0000
0.5000 0.5000 0.5000
0.0000 0.0000 0.0000
```

***

Most stable: model 1 (next structure +7.5 kJ/mol of atoms)

***

Model 1:
The following is a DFT calculation (PBE-GGA) of a relaxed structure of K3TeS3.

- Symmetry: No. 63
- DOS(E_F): 9.8 states/eV per cell
- Size of the total moment: 1.765 Bohr magnetons per cell

Geometry as POSCAR:
```
K3TeS3
1.0
-2.2250 4.5546 -3.7989
-9.4361 -2.0859 3.0259
5.4991 6.8676 5.0129
K Te S
6 2 6
Direct
0.2500 0.6515 0.8254
0.2500 0.1738 0.3485
0.2500 0.1741 0.8267
0.7500 0.3485 0.1746
0.7500 0.8262 0.6515
0.7500 0.8259 0.1733
0.7500 0.3331 0.6669
0.2500 0.6669 0.3331
0.7500 0.6236 0.8116
0.7500 0.1876 0.3764
0.7500 0.1881 0.8127
0.2500 0.3764 0.1884
0.2500 0.8124 0.6236
0.2500 0.8119 0.1873
```

***

Model 2:
The following is a DFT calculation (PBE-GGA) of a relaxed structure of K3TeS3.

- Symmetry: No. 176
- DOS(E_F): 4.2 states/eV per cell
- Size of the total moment: 2.113 Bohr magnetons per cell

Geometry as POSCAR:
```
K3TeS3
1.0
6.4774 0.0000 0.0000
0.0000 8.2705 -4.7750
0.0000 0.0000 9.5500
K Te S
6 2 6
Direct
0.7500 0.7130 0.6375
0.7500 0.3625 0.0755
0.7500 0.9245 0.2870
0.2500 0.2870 0.3625
0.2500 0.6375 0.9245
0.2500 0.0755 0.7130
0.2500 0.6667 0.3333
0.7500 0.3333 0.6667
0.2500 0.6941 0.6135
0.2500 0.3865 0.0806
0.2500 0.9194 0.3059
0.7500 0.3059 0.3865
0.7500 0.6135 0.9194
0.7500 0.0806 0.6941
```

***

Most stable: model 2 (next structure +4.4 kJ/mol of atoms)

***

Model 1:
The following is a DFT calculation (PBE-GGA) of a relaxed structure of K2TlTeS.

- Symmetry: No. 11
- DOS(E_F): 1.1 states/eV per cell
- Size of the total moment: 0.000 Bohr magnetons per cell

Geometry as POSCAR:
```
K2TlTeS
1.0
5.5431 0.0000 0.0000
0.0000 7.9249 1.3834
0.0000 -1.6679 7.8629
K Tl Te S
4 2 2 2
Direct
0.7500 0.8453 0.5301
0.7500 0.8033 0.9951
0.2500 0.1547 0.4699
0.2500 0.1967 0.0049
0.2500 0.5675 0.6937
0.7500 0.4325 0.3063
0.2500 0.5752 0.2758
0.7500 0.4248 0.7242
0.2500 0.8876 0.7532
0.7500 0.1124 0.2468
```

***

Model 2:
The following is a DFT calculation (PBE-GGA) of a relaxed structure of K2TlTeS.

- Symmetry: No. 123
- DOS(E_F): 3.2 states/eV per cell
- Size of the total moment: 0.003 Bohr magnetons per cell

Geometry as POSCAR:
```
K2TlTeS
1.0
5.9638 0.0000 0.0000
0.0000 5.9638 0.0000
0.0000 0.0000 5.2895
S Tl Te K
1 1 1 2
Direct
0.0000 0.0000 0.0000
0.0000 0.0000 0.5000
0.5000 0.5000 0.5000
0.0000 0.5000 0.0000
0.5000 0.0000 0.0000
```

***

Most stable: model 1 (next structure +14.9 kJ/mol of atoms)

***

Model 1:
The following is a DFT calculation (PBE-GGA) of a relaxed structure of K2US4.

- Symmetry: No. 55
- Size of the total moment: 0.000 Bohr magnetons per cell

Geometry as POSCAR:
```
K2US4
1.0
-0.3073 2.8712 2.9734
-3.9630 -5.0689 4.4850
10.9468 -4.0756 5.0667
K U S
4 2 8
Direct
0.5000 0.9235 0.8203
0.5000 0.0765 0.1797
0.5000 0.4235 0.6797
0.5000 0.5765 0.3203
0.0000 0.0000 0.5000
0.0000 0.5000 0.0000
0.0000 0.6208 0.8228
0.0000 0.3792 0.1772
0.0000 0.1208 0.6772
0.0000 0.8792 0.3228
0.5000 0.8049 0.5489
0.5000 0.1951 0.4511
0.5000 0.6951 0.0489
0.5000 0.3049 0.9511
```

***

Model 2:
The following is a DFT calculation (PBE-GGA) of a relaxed structure of K2US4.

- Symmetry: No. 142
- Size of the total moment: 0.000 Bohr magnetons per cell

Geometry as POSCAR:
```
K2US4
1.0
-3.2418 4.7870 -4.5083
1.7879 -4.1954 -5.7404
-13.0700 -8.2270 6.6239
K U S
8 4 16
Direct
0.9282 0.4282 0.8564
0.1782 0.1782 0.3564
0.3218 0.3218 0.6436
0.0718 0.5718 0.1436
0.6782 0.6782 0.3564
0.4282 0.9282 0.8564
0.5718 0.0718 0.1436
0.8218 0.8218 0.6436
0.2500 0.7500 0.5000
0.5000 0.5000 0.0000
0.0000 0.0000 0.0000
0.7500 0.2500 0.5000
0.5767 0.5767 0.1535
0.3267 0.8267 0.6535
0.6733 0.1733 0.3465
0.9233 0.9233 0.8465
0.1733 0.6733 0.3465
0.4233 0.4233 0.8465
0.0767 0.0767 0.1535
0.8267 0.3267 0.6535
0.4988 0.4988 0.5000
0.7512 0.7488 0.0000
0.2488 0.2512 0.0000
0.0012 0.0012 0.5000
0.7488 0.2488 0.0000
0.5012 0.9988 0.5000
0.9988 0.5012 0.5000
0.2512 0.7512 0.0000
```

***

Most stable: model 2 (next structure +0.6 kJ/mol of atoms)

***

Model 1:
The following is a DFT calculation (PBE-GGA) of a relaxed structure of KU4S8.

- Symmetry: No. 12
- DOS(E_F): 14.5 states/eV per cell
- Size of the total moment: 9.000 Bohr magnetons per cell

Geometry as POSCAR:
```
KU4S8
1.0
-5.1888 3.6240 -4.8767
7.7516 -0.2752 -1.9178
-2.3874 -8.5031 -0.3855
K U S
1 4 8
Direct
0.0000 0.5000 0.5000
0.2482 0.2482 0.0000
0.7518 0.7518 0.0000
0.2582 0.7591 0.0173
0.7418 0.2409 0.9827
0.6851 0.0178 0.1813
0.1635 0.4963 0.1813
0.6757 0.4986 0.1743
0.1738 0.0112 0.1849
0.8262 0.9888 0.8151
0.3243 0.5014 0.8257
0.8365 0.5037 0.8187
0.3149 0.9822 0.8187
```

***

Model 2:
The following is a DFT calculation (PBE-GGA) of a relaxed structure of KU4S8.

- Symmetry: No. 216
- DOS(E_F): 26.0 states/eV per cell
- Size of the total moment: 9.000 Bohr magnetons per cell

Geometry as POSCAR:
```
KU4S8
1.0
8.2331 0.0000 0.0000
4.1166 7.1301 0.0000
4.1166 2.3767 6.7223
K U S
1 4 8
Direct
0.7500 0.7500 0.7500
0.8805 0.3732 0.3732
0.3732 0.8805 0.3732
0.3732 0.3732 0.8805
0.3732 0.3732 0.3732
0.5788 0.1404 0.1404
0.1404 0.5788 0.1404
0.1404 0.1404 0.5788
0.1404 0.1404 0.1404
0.1836 0.6055 0.6055
0.6055 0.1836 0.6055
0.6055 0.6055 0.1836
0.6055 0.6055 0.6055
```

***

Most stable: model 1 (next structure +5.1 kJ/mol of atoms)

***

Model 1:
The following is a DFT calculation (PBE-GGA) of a relaxed structure of KV2S2.

- Symmetry: No. 139
- DOS(E_F): 1.5 states/eV per cell
- Size of the total moment: 0.936 Bohr magnetons per cell

Geometry as POSCAR:
```
KV2S2
1.0
-0.4979 4.3571 1.7302
-4.1180 0.4251 -2.2555
-4.1961 0.9168 2.9068
K S V
1 2 2
Direct
0.0000 0.0000 0.0000
0.7500 0.2500 0.5000
0.2500 0.7500 0.5000
0.3775 0.3775 0.2450
0.6225 0.6225 0.7550
```

***

Model 2:
The following is a DFT calculation (PBE-GGA) of a relaxed structure of KV2S2.

- Symmetry: No. 123
- DOS(E_F): 2.3 states/eV per cell
- Size of the total moment: 0.000 Bohr magnetons per cell

Geometry as POSCAR:
```
KV2S2
1.0
-2.5791 -2.4512 -0.5594
2.4815 -2.6105 -0.0020
-0.8177 -0.7829 7.2005
K V S
1 2 2
Direct
0.0000 0.0000 0.0000
0.5000 0.0000 0.5000
0.0000 0.5000 0.5000
0.5000 0.5000 0.7257
0.5000 0.5000 0.2743
```

***

Most stable: model 2 (next structure +34.2 kJ/mol of atoms)

***

Model 1:
The following is a DFT calculation (PBE-GGA) of a relaxed structure of KV3S.

- Symmetry: No. 221
- DOS(E_F): 4.6 states/eV per cell
- Size of the total moment: 0.000 Bohr magnetons per cell

Geometry as POSCAR:
```
KV3S
1.0
4.3300 0.0000 0.0000
0.0000 4.3300 0.0000
0.0000 0.0000 4.3300
K S V
1 1 3
Direct
0.0000 0.0000 0.0000
0.5000 0.5000 0.5000
0.0000 0.5000 0.0000
0.0000 0.0000 0.5000
0.5000 0.0000 0.0000
```

***

Model 2:
The following is a DFT calculation (PBE-GGA) of a relaxed structure of KV3S.

- Symmetry: No. 221
- DOS(E_F): 8.0 states/eV per cell
- Size of the total moment: 3.876 Bohr magnetons per cell

Geometry as POSCAR:
```
KV3S
1.0
-0.0514 -2.5446 -3.7640
0.9260 -3.6911 2.4826
-4.4480 -0.7390 0.5604
K S V
1 1 3
Direct
0.5000 0.5000 0.5000
0.0000 0.0000 0.0000
0.0000 0.5000 0.0000
0.0000 0.0000 0.5000
0.5000 0.0000 0.0000
```

***

Most stable: model 2 (next structure +179.0 kJ/mol of atoms)

***

Model 1:
The following is a DFT calculation (PBE-GGA) of a relaxed structure of KVS3.

- Symmetry: No. 221
- DOS(E_F): 5.7 states/eV per cell
- Size of the total moment: 0.017 Bohr magnetons per cell

Geometry as POSCAR:
```
KVS3
1.0
-1.1204 -3.8457 3.5527
-3.4892 -2.1603 -3.4388
3.9034 -3.0348 -2.0542
K S V
1 3 1
Direct
0.0000 0.0000 0.0000
0.0000 0.5000 0.0000
0.0000 0.0000 0.5000
0.5000 0.0000 0.0000
0.5000 0.5000 0.5000
```

***

Model 2:
The following is a DFT calculation (PBE-GGA) of a relaxed structure of KVS3.

- Symmetry: No. 221
- DOS(E_F): 4.9 states/eV per cell
- Size of the total moment: 0.231 Bohr magnetons per cell

Geometry as POSCAR:
```
KVS3
1.0
4.6875 0.0000 0.0000
0.0000 4.6875 0.0000
0.0000 0.0000 4.6875
K S V
1 3 1
Direct
0.5000 0.5000 0.5000
0.0000 0.5000 0.0000
0.0000 0.0000 0.5000
0.5000 0.0000 0.0000
0.0000 0.0000 0.0000
```

***

Model 3:
The following is a DFT calculation (PBE-GGA) of a relaxed structure of KVS3.

- Symmetry: No. 11
- DOS(E_F): 4.1 states/eV per cell
- Size of the total moment: 0.000 Bohr magnetons per cell

Geometry as POSCAR:
```
KVS3
1.0
5.8758 0.0000 0.0000
0.0000 7.7092 1.7231
0.0000 -1.4355 11.1722
K V S
4 4 12
Direct
0.7500 0.9869 0.6914
0.2500 0.0131 0.3086
0.2500 0.5131 0.8086
0.7500 0.4869 0.1914
0.2500 0.5222 0.4449
0.7500 0.4778 0.5551
0.7500 0.9778 0.0551
0.2500 0.0222 0.9449
0.0041 0.6993 0.5379
0.9959 0.3007 0.4621
0.5041 0.8007 0.9621
0.4959 0.1993 0.0379
0.4959 0.6993 0.5379
0.5041 0.3007 0.4621
0.9959 0.8007 0.9621
0.0041 0.1993 0.0379
0.2500 0.6121 0.2640
0.7500 0.3879 0.7360
0.7500 0.8879 0.2360
0.2500 0.1121 0.7640
```

***

Most stable: model 3 (next structure +22.6 kJ/mol of atoms)